This record from Alexandria via LeMat-Bulk describes a relaxed structure of LiY2Ir. The functional is PBE.

Computed properties:
The total energy is -25.9 eV/cell. As for the formation energy: -556.7 meV/atom.

Cell lengths 4.9298, 4.9298, 4.9298 Å; angles 60.00, 60.00, 60.00 degrees
Atoms (fractional coordinates):
Li: 0.0000 0.0000 0.0000
Y: 0.2500 0.2500 0.2500
Y: 0.7500 0.7500 0.7500
Ir: 0.5000 0.5000 0.5000